# 1
BeCr2: optimized geometry, PBE-GGA.

- uncorrected energy (eV per atom) = -7.6682
- SG = P-3m1, No. 164

a = 3.9264 Å, b = 3.9264 Å, c = 2.3735 Å
α = 90.00°, β = 90.00°, γ = 120.00°
Closest atoms and distances in Å follow each position.
Sites, in units of the cell vectors:
Cr1 0.6667 0.3333 0.3624  5 Cr 2.36-2.37, 3 Be 2.42
Cr2 0.3333 0.6667 0.6376  5 Cr 2.36-2.37, 3 Be 2.42
Be1 0.0000 0.0000 0.0000  2 Be 2.37, 6 Cr 2.42

# 2
Rb3LiMg2Br9: optimized geometry, PBE-GGA.

- ΔE_f (raw) (meV per atom) = -1448
- SG = P-3m1, No. 164

a = 7.6245 Å, b = 7.6245 Å, c = 9.3683 Å
α = 90.00°, β = 90.00°, γ = 120.00°
Closest atoms and distances in Å follow each position.
Sites, in units of the cell vectors:
Rb1 0.3333 0.6667 0.6619  12 Br 3.80-3.86
Rb2 0.0000 0.0000 0.0000  12 Br 3.80-3.81
Rb3 0.6667 0.3333 0.3381  12 Br 3.80-3.86
Li1 0.0000 0.0000 0.5000  6 Br 2.73
Mg1 0.3333 0.6667 0.1734  6 Br 2.63-2.74
Mg2 0.6667 0.3333 0.8266  6 Br 2.63-2.74
Br1 0.8321 0.1679 0.6702  1 Mg 2.63, 1 Li 2.73
Br2 0.8321 0.6643 0.6702  1 Mg 2.63, 1 Li 2.73
Br3 0.3357 0.1679 0.6702  1 Mg 2.63, 1 Li 2.73
Br4 0.6643 0.8321 0.3298  1 Mg 2.63, 1 Li 2.73
Br5 0.1679 0.3357 0.3298  1 Mg 2.63, 1 Li 2.73
Br6 0.1679 0.8321 0.3298  1 Mg 2.63, 1 Li 2.73
Br7 0.5000 0.0000 0.0000  2 Mg 2.74
Br8 0.0000 0.5000 0.0000  2 Mg 2.74
Br9 0.5000 0.5000 0.0000  2 Mg 2.74